28
Lattice="5.264 0.000 0.000 0.000 6.416 0.000 0.000 0.000 8.798" Properties=species:S:1:pos:R:3 comment="LiCoPO4 PBE with a Hubbard U relaxed" polymorph_energy_mev_per_atom=81 density_g_cm3=3.6 final_energy_ev_per_cell=-183.8 crystal_system=orthorhombic pbc="T T T"
Co 3.846 4.465 4.064
Co 3.846 1.257 0.334
Co 1.214 1.951 4.734
Co 1.214 5.159 8.464
Li 1.216 0.045 2.481
Li 3.848 3.164 6.880
Li 3.848 6.371 6.317
Li 1.216 3.253 1.918
O 4.472 2.404 4.312
O 1.840 4.012 4.486
O 3.612 3.251 0.142
O 4.692 1.065 2.164
O 0.980 6.373 4.541
O 5.009 1.397 7.347
O 4.472 5.612 0.086
O 3.612 0.043 4.257
O 5.009 4.605 5.850
O 0.980 3.165 8.656
O 2.377 5.020 1.451
O 4.692 4.273 2.235
O 2.060 5.351 6.634
O 1.840 0.805 8.712
O 2.377 1.812 2.948
O 2.060 2.143 6.563
P 3.792 4.520 0.991
P 1.160 1.896 7.807
P 1.160 5.104 5.390
P 3.792 1.312 3.408